Record 1
Nd4InAgHg2: optimized geometry, PBE.

Formation enthalpy at 0 K in eV per atom: -0.412

Cell lengths 9.3939, 9.3939, 9.3939 Å; angles 33.46, 33.46, 33.46 degrees
With the nearest neighbours (Å) after each atom.
Fractional positions:
Nd 0.1220 0.1220 0.1220  1 Ag 3.24, 4 Hg 3.27-3.34, 3 In 3.34
Nd 0.3725 0.3725 0.3725  3 Ag 3.29, 4 Hg 3.32-3.36, 1 In 3.39
Nd 0.6275 0.6275 0.6275  3 Ag 3.29, 4 Hg 3.32-3.36, 1 In 3.39
Nd 0.8780 0.8780 0.8780  1 Ag 3.24, 4 Hg 3.27-3.34, 3 In 3.34
In 0.5000 0.5000 0.5000  8 Nd 3.34-3.39
Ag 0.0000 0.0000 0.0000  8 Nd 3.24-3.29
Hg 0.2477 0.2477 0.2477  8 Nd 3.27-3.36
Hg 0.7523 0.7523 0.7523  8 Nd 3.27-3.36

***

Record 2
PaInAgHg: optimized geometry, PBE.

Formation enthalpy at 0 K in eV per atom: 0.042

Cell lengths 5.0745, 5.0745, 5.0745 Å; angles 60.00, 60.00, 60.00 degrees
With the nearest neighbours (Å) after each atom.
Fractional positions:
Pa 0.0000 0.0000 0.0000  4 Hg 3.11, 4 Ag 3.11
In 0.5000 0.5000 0.5000  4 Hg 3.11, 4 Ag 3.11
Ag 0.7500 0.7500 0.7500  4 In 3.11, 4 Pa 3.11
Hg 0.2500 0.2500 0.2500  4 In 3.11, 4 Pa 3.11

***

Record 3
In4AgHg2Pb: optimized geometry, PBE.

Formation enthalpy at 0 K in eV per atom: 0.080

Cell lengths 8.6442, 8.6442, 8.6442 Å; angles 128.62, 112.07, 90.01 degrees
With the nearest neighbours (Å) after each atom.
Fractional positions:
In 0.2613 0.2444 0.0169  2 Ag 2.93, 3 Hg 2.99-3.19, 1 Pb 3.13
In 0.2620 0.2477 0.4857  1 Ag 2.91, 3 Hg 3.00-3.20, 2 Pb 3.13
In 0.2620 0.7762 0.0143  1 Ag 2.91, 3 Hg 3.00-3.20, 2 Pb 3.13
In 0.2725 0.7556 0.5169  2 Ag 2.93, 3 Hg 2.99-3.19, 1 Pb 3.13
In 0.7275 0.2444 0.4831  2 Ag 2.93, 3 Hg 2.99-3.19, 1 Pb 3.13
In 0.7380 0.2238 0.9857  1 Ag 2.91, 3 Hg 3.00-3.20, 2 Pb 3.13
In 0.7380 0.7523 0.5143  1 Ag 2.91, 3 Hg 3.00-3.20, 2 Pb 3.13
In 0.7387 0.7556 0.9831  2 Ag 2.93, 3 Hg 2.99-3.19, 1 Pb 3.13
Ag 0.5000 0.0000 0.0000  6 In 2.91-2.93
Ag 0.5000 0.5000 0.5000  6 In 2.91-2.93
Hg 0.0000 0.0000 0.0000  6 In 2.99-3.00
Hg 0.0000 0.0000 0.5000  6 In 3.19-3.20
Hg 0.0000 0.5000 0.0000  6 In 3.19-3.20
Hg 0.5000 0.0000 0.5000  6 In 2.99-3.00
Pb 0.0000 0.5000 0.5000  6 In 3.13
Pb 0.5000 0.5000 0.0000  6 In 3.13

***

Record 4
InAgHgPd: optimized geometry, PBE.

Formation enthalpy at 0 K in eV per atom: -0.128

Cell lengths 4.7595, 4.7595, 4.7595 Å; angles 60.00, 60.00, 60.00 degrees
With the nearest neighbours (Å) after each atom.
Fractional positions:
In 0.0000 0.0000 0.0000  4 Pd 2.91, 4 Ag 2.91
Ag 0.7500 0.7500 0.7500  4 Hg 2.91, 4 In 2.91
Hg 0.5000 0.5000 0.5000  4 Pd 2.91, 4 Ag 2.91
Pd 0.2500 0.2500 0.2500  4 Hg 2.91, 4 In 2.91

***

> Which formula does entry 3 have?

In4AgHg2Pb

***

> What is the formula in the third record?

In4AgHg2Pb

***

> formation enthalpy at 0 K of number 4 (InAgHgPd)?

-0.128 eV per atom

***

> Which of these has the highest formation enthalpy at 0 K?

In4AgHg2Pb